[1]
VASP calculation (PBE-GGA) on an optimized crystal structure of CaNpRu2.

a = 4.770 Å, b = 4.770 Å, c = 3.320 Å
α = 90.00°, β = 90.00°, γ = 90.00°
Positions (direct):
1 Ca 0.000 0.000 0.000
2 Np 0.500 0.500 0.000
3 Ru 0.000 0.500 0.500
4 Ru 0.500 0.000 0.500

Summary:
DOS at the Fermi energy	1.664	states/eV/atom
SG	P4/mmm
calculated volume	75.6	Å³/f.u.
calculated density	10.53	g/cm3
energy relative to the elements	0.14	eV/atom
total DFT energy (no corrections)	-8.236	eV per atom



[2]
VASP calculation (PBE-GGA) on an optimized crystal structure of CaNpS3.

a = 4.304 Å, b = 4.304 Å, c = 14.768 Å
α = 90.00°, β = 90.00°, γ = 120.00°
Positions (direct):
1 Ca 0.333 0.667 0.000
2 Ca 0.667 0.333 0.500
3 Np 0.000 0.000 0.229
4 Np 0.000 0.000 0.729
5 S 0.000 0.000 0.420
6 S 0.000 0.000 0.920
7 S 0.333 0.667 0.280
8 S 0.333 0.667 0.625
9 S 0.667 0.333 0.125
10 S 0.667 0.333 0.780

Summary:
DOS at the Fermi energy	1.947	states/eV/atom
SG	P6_3mc
formation energy (no corrections)	-1.47	eV/atom
calculated volume	118.4	Å³/f.u.
calculated density	5.23	g/cm3
total DFT energy (no corrections)	-6.930	eV per atom



[3]
VASP calculation (PBE-GGA) on an optimized crystal structure of CaNp3S6.

a = 7.416 Å, b = 7.416 Å, c = 7.416 Å
α = 56.51°, β = 56.51°, γ = 56.51°
Positions (direct):
1 Ca 0.000 0.000 0.000
2 Np 0.204 0.204 0.204
3 Np 0.507 0.507 0.507
4 Np 0.708 0.708 0.708
5 S 0.107 0.807 0.411
6 S 0.325 0.588 0.908
7 S 0.411 0.107 0.807
8 S 0.588 0.908 0.325
9 S 0.807 0.411 0.107
10 S 0.908 0.325 0.588

Summary:
DOS at the Fermi energy	2.030	states/eV/atom
SG	R3
formation energy (no corrections)	-1.42	eV/atom
calculated volume	265.2	Å³/f.u.
calculated density	5.91	g/cm3
total DFT energy (no corrections)	-7.978	eV per atom



[4]
VASP calculation (PBE-GGA) on an optimized crystal structure of CaNpS3.

a = 7.382 Å, b = 3.984 Å, c = 15.243 Å
α = 90.00°, β = 90.00°, γ = 90.00°
Positions (direct):
1 Ca 0.109 0.250 0.215
2 Ca 0.391 0.750 0.715
3 Ca 0.609 0.250 0.285
4 Ca 0.891 0.750 0.785
5 Np 0.240 0.750 0.460
6 Np 0.260 0.250 0.960
7 Np 0.740 0.750 0.040
8 Np 0.760 0.250 0.540
9 S 0.016 0.250 0.406
10 S 0.128 0.750 0.062
11 S 0.172 0.250 0.787
12 S 0.328 0.750 0.287
13 S 0.372 0.250 0.562
14 S 0.484 0.750 0.906
15 S 0.516 0.250 0.094
16 S 0.628 0.750 0.438
17 S 0.672 0.250 0.713
18 S 0.828 0.750 0.213
19 S 0.872 0.250 0.938
20 S 0.984 0.750 0.594

Summary:
DOS at the Fermi energy	1.664	states/eV/atom
SG	Pnma
formation energy (no corrections)	-1.60	eV/atom
calculated volume	112.1	Å³/f.u.
calculated density	5.53	g/cm3
total DFT energy (no corrections)	-7.070	eV per atom